First-principles (GGA+U) data for crystalline Rb2PmCoO4 at its relaxed geometry, as listed in Alexandria.

Total energy ... -5.7801 eV per atom

a = 6.0380 Å, b = 6.0380 Å, c = 6.0380 Å
α = 92.83°, β = 118.38°, γ = 118.38°
Element x y z (fractional)
O 0.9092 0.5316 0.1624
O 0.6307 0.3776 0.4684
O 0.0908 0.2531 0.6224
O 0.3693 0.8376 0.7469
Pm 0.5000 0.2500 0.7500
Rb 0.5000 0.7500 0.2500
Rb 0.0000 0.0000 0.0000
Co 0.0000 0.5000 0.5000